## Li7Hg12Au (GGA-PBE)

Data for a relaxed structure of Li7Hg12Au.

a = 9.6179 Å, b = 9.6179 Å, c = 9.6179 Å
α = 116.17°, β = 116.17°, γ = 116.17°
Sites, in units of the cell vectors:
Li 0.0000 0.0000 0.0000
Li 0.1609 0.4544 0.3863
Li 0.3863 0.1609 0.4544
Li 0.4544 0.3863 0.1609
Li 0.5456 0.6137 0.8391
Li 0.6137 0.8391 0.5456
Li 0.8391 0.5456 0.6137
Hg 0.0273 0.1074 0.3587
Hg 0.1074 0.3587 0.0273
Hg 0.1938 0.5770 0.7406
Hg 0.2594 0.8062 0.4230
Hg 0.3587 0.0273 0.1074
Hg 0.4230 0.2594 0.8062
Hg 0.5770 0.7406 0.1938
Hg 0.6413 0.9727 0.8926
Hg 0.7406 0.1938 0.5770
Hg 0.8062 0.4230 0.2594
Hg 0.8926 0.6413 0.9727
Hg 0.9727 0.8926 0.6413
Au 0.5000 0.5000 0.5000



## AcPr2NdSm (GGA-PBE)

Data for a relaxed structure of AcPr2NdSm.

a = 7.5078 Å, b = 7.5078 Å, c = 7.4673 Å
α = 90.00°, β = 90.00°, γ = 111.51°
Sites, in units of the cell vectors:
Ac 0.2407 0.7593 0.7500
Ac 0.7593 0.2407 0.2500
Pr 0.3037 0.3037 0.0000
Pr 0.3037 0.3037 0.5000
Pr 0.6963 0.6963 0.0000
Pr 0.6963 0.6963 0.5000
Nd 0.0578 0.9422 0.2500
Nd 0.9422 0.0578 0.7500
Sm 0.3042 0.6958 0.2500
Sm 0.6958 0.3042 0.7500



## La3Hg4Rh2 (GGA-PBE)

Data for a relaxed structure of La3Hg4Rh2.

a = 5.8029 Å, b = 5.8029 Å, c = 9.7913 Å
α = 111.70°, β = 111.70°, γ = 53.12°
Sites, in units of the cell vectors:
La 0.0000 0.0000 0.0000
La 0.1538 0.1538 0.7061
La 0.8462 0.8462 0.2939
Hg 0.2005 0.2005 0.3873
Hg 0.3361 0.3361 0.0694
Hg 0.6639 0.6639 0.9306
Hg 0.7995 0.7995 0.6127
Rh 0.3940 0.3940 0.7068
Rh 0.6060 0.6060 0.2932



Total energy readings, ordered: -25.2, -43.1, -34.4 eV per cell
Size of the total moment readings, ordered: 0.00, 0.00, 0.00 μB/f.u.